Density functional theory data (PBE-GGA) for a relaxed CrIn2Co2 crystal.

The structure in extended XYZ format:
```
10
Lattice="6.095 0.000 0.000 0.000 6.095 0.000 0.000 0.000 4.094" Properties=species:S:1:pos:R:3 pbc="T T T"
Cr 0.000 0.000 0.000
Cr 3.048 3.048 0.000
In 1.068 1.980 2.047
In 1.980 5.027 2.047
In 4.115 1.068 2.047
In 5.027 4.115 2.047
Co 0.826 3.874 0.000
Co 2.222 0.826 0.000
Co 3.874 5.269 0.000
Co 5.269 2.222 0.000
```

DOS at the Fermi energy ... 13.7 states/eV/cell
Theoretical density ... 8.7 g/cm³
Raw total energy ... -0.204 hartree per atom
Symmetry ... No. 127